[1]
VASP calculation (GGA-PBEsol) on a relaxed YTaBe crystal.

```
YTaBe
1.0
-2.909 3.093 1.454
-2.222 -0.642 3.846
0.985 2.489 3.603
Ta Be Y
1 1 1
direct
0.250 0.250 0.250 Ta
0.500 0.500 0.500 Be
0.000 0.000 0.000 Y
```

Calculated values
- Symmetry: F-43m (216)
- Energy relative to the elements: 1.407 eV per atom
- N(E_F): 2.31 states/eV/f.u.



[2]
VASP calculation (GGA-PBEsol) on a relaxed TaBe4Zn crystal.

```
TaBe4Zn
1.0
4.477 0.000 0.000
2.239 3.877 0.000
2.239 1.292 3.656
Zn Be Ta
1 4 1
direct
0.000 0.000 0.000 Zn
0.379 0.863 0.379 Be
0.379 0.379 0.863 Be
0.863 0.379 0.379 Be
0.379 0.379 0.379 Be
0.750 0.750 0.750 Ta
```

Calculated values
- Symmetry: F-43m (216)
- Energy relative to the elements: 0.109 eV per atom
- N(E_F): 3.78 states/eV/f.u.



[3]
VASP calculation (GGA-PBEsol) on a relaxed TaBeZn crystal.

```
TaBeZn
1.0
-0.934 -3.395 -2.129
2.977 -2.145 -1.862
1.083 -3.698 1.445
Be Zn Ta
1 1 1
direct
0.500 0.500 0.500 Be
0.000 0.000 0.000 Zn
0.250 0.250 0.250 Ta
```

Calculated values
- Symmetry: F-43m (216)
- Energy relative to the elements: 0.995 eV per atom
- N(E_F): 2.24 states/eV/f.u.



[4]
VASP calculation (GGA-PBEsol) on a relaxed TaBeZn2 crystal.

```
TaBeZn2
1.0
2.539 -0.006 0.000
-0.791 4.867 0.000
-0.874 -2.431 4.462
Zn Ta Be
2 1 1
direct
0.500 0.500 0.500 Zn
0.000 0.000 0.500 Zn
0.000 0.500 0.000 Ta
0.500 0.000 0.000 Be
```

Calculated values
- Symmetry: C2/m (12)
- Energy relative to the elements: 0.134 eV per atom
- N(E_F): 1.27 states/eV/f.u.



Going through the records in order, we get total magnetic moment values of 1.89 0.00 0.00 0.00 μB per cell.